--- A ---
Here is a geometry-optimized SrLaBr2 structure from the Alexandria database. Energies are from PBE-GGA.

Values from the calculation:
**Space-group type**: P4/mmm
**V**: 28.2 Å³/atom

```
SrLaBr2
1.0
-2.837 2.736 -3.719
-4.101 0.507 3.506
1.502 3.298 1.280
Sr Br La
1 2 1
direct
0.000 0.500 0.500
0.000 0.000 0.000
0.500 0.500 0.000
0.500 0.000 0.500
```



--- B ---
Here is a geometry-optimized SrLaBr2 structure from the Alexandria database. Energies are from PBE-GGA.

Values from the calculation:
**Space-group type**: Fm-3m
**V**: 28.3 Å³/atom

```
SrLaBr2
1.0
0.000 3.841 3.841
3.841 0.000 3.841
3.841 3.841 0.000
Sr Br La
1 2 1
direct
0.000 0.000 0.000
0.250 0.250 0.250
0.750 0.750 0.750
0.500 0.500 0.500
```



--- C ---
Here is a geometry-optimized SrLaBr2 structure from the Alexandria database. Energies are from PBE-GGA.

Values from the calculation:
**Space-group type**: P2/m
**V**: 34.8 Å³/atom

```
SrLaBr2
1.0
-3.549 -3.359 -0.973
2.548 -2.004 -2.378
1.882 -3.620 5.630
Sr Br La
1 2 1
direct
0.500 0.750 0.750
0.000 0.041 0.000
0.000 0.459 0.500
0.500 0.250 0.250
```



Most favorable structure: C. The second most favorable one is 0.127 eV/atom above it.